Density functional theory data (GGA-PBEsol) for an optimized crystal structure of MnAlV2.

Cell lengths 4.147, 4.147, 4.147 Å; angles 60.00, 60.00, 60.00 degrees
Fractional coordinates of all 4 atoms:
Mn1 0.000 0.000 0.000
Al1 0.250 0.250 0.250
V1 0.500 0.500 0.500
V2 0.750 0.750 0.750

Results
Spin magnetization, μB per formula unit: 1.94
Energy of formation from the pure elements, eV/atom: -0.1268